No. 1
Material: MnCdBr2
Method: DFT, PBE
State: optimized geometry

Structure (POSCAR):
```
MnCdBr2
1.0
0.000 3.658 3.658
3.658 0.000 3.658
3.658 3.658 0.000
Mn Cd Br
1 1 2
direct
0.000 0.000 0.000 Mn
0.500 0.500 0.500 Cd
0.250 0.250 0.250 Br
0.750 0.750 0.750 Br
```

Properties
The space group is Fm-3m. The energy is -3.27 eV per atom. The value obtained for the energy relative to the elements, uncorrected is 8.4 kJ per mole of atoms.


No. 2
Material: BeWBr
Method: DFT, PBE
State: optimized geometry

Structure (POSCAR):
```
BeWBr
1.0
-1.482 1.482 6.603
1.482 -1.482 6.603
1.482 1.482 -6.603
Be W Br
1 1 1
direct
0.000 0.000 0.000 Be
0.601 0.601 0.000 W
0.238 0.238 0.000 Br
```

Properties
The space group is I4mm. The energy is -5.37 eV per atom. The value obtained for the energy relative to the elements, uncorrected is 72.4 kJ per mole of atoms.


No. 3
Material: GaNi2
Method: DFT, PBE
State: optimized geometry

Structure (POSCAR):
```
GaNi2
1.0
0.000 3.352 3.352
3.352 0.000 3.352
3.352 3.352 0.000
Ga Ni
2 4
direct
0.125 0.125 0.125 Ga
0.875 0.875 0.875 Ga
0.000 0.500 0.500 Ni
0.500 0.000 0.500 Ni
0.500 0.500 0.000 Ni
0.500 0.500 0.500 Ni
```

Properties
The space group is Fd-3m. The energy is -4.93 eV per atom. As for the energy relative to the elements: -0.0698 eV/atom.


No. 4
Material: PIr2Pb
Method: DFT, PBE
State: optimized geometry

Structure (POSCAR):
```
PIr2Pb
1.0
-1.515 2.763 4.372
1.515 -2.763 4.372
1.515 2.763 -4.372
P Ir Pb
1 2 1
direct
0.000 0.000 0.000 P
0.195 0.695 0.500 Ir
0.805 0.305 0.500 Ir
0.500 0.500 0.000 Pb
```

Properties
The space group is Immm. The energy is -6.37 eV per atom. As for the energy relative to the elements: 0.3448 eV/atom.